(1)
First-principles (PBE-GGA) data for crystalline MgCd2InHg at its relaxed geometry, as listed in Alexandria via LeMat-Bulk.

The structure belongs to space group P2_1/m (No. 11); the cell edges are 6.375, 4.847 and 8.159 Å and the angles 90.00°, 100.49° and 90.00°. The distinct sites, in fractional coordinates, are Mg at (0.045, 0.250, 0.183), Cd at (0.115, 0.750, 0.432), Cd at (0.382, 0.250, 0.544), In at (0.465, 0.750, 0.810) and Hg at (0.209, 0.250, 0.880).

As for the formation energy: -0.022 eV per atom.

(2)
First-principles (PBE-GGA) data for crystalline Hf2HgP at its relaxed geometry, as listed in Alexandria via LeMat-Bulk.

The structure belongs to space group R3m (No. 160, hexagonal axes); the cell edges are 3.5620, 3.5620 and 22.4615 Å and the angles 90.00°, 90.00° and 120.00°. The distinct sites, in fractional coordinates, are Hf at (0.0000, 0.0000, 0.0000), Hf at (0.0000, 0.0000, 0.2030), Hg at (0.0000, 0.0000, 0.7687) and P at (0.0000, 0.0000, 0.6009).

As for the formation energy: -0.650 eV per atom.

no.,Fermi-level density of states (states/eV per cell),spin magnetization (μB per formula unit)
1,3.1,0.000
2,7.4,0.000